A plane-wave DFT calculation with PBE was carried out for crystalline Li2PrThTe4 at its relaxed geometry.

Lattice parameters (Å, degrees): 7.611 4.395 7.626 90.00 109.33 90.00
Atoms (fractional coordinates):
Li (0.000, 0.000, 0.000)
Li (0.000, 0.500, 0.500)
Pr (0.500, 0.000, 0.500)
Th (0.500, 0.500, 0.000)
Te (0.232, 0.000, 0.748)
Te (0.232, 0.500, 0.240)
Te (0.768, 0.000, 0.252)
Te (0.768, 0.500, 0.760)

Output
ΔE_f (raw)   -1.19 eV/atom
DOS at the Fermi energy   3.34 states/eV/f.u.